No. 1
Here is Fe2CuHIr after structural relaxation from Alexandria via LeMat-Bulk. Energies are from GGA-PBE.

**Offset from the most stable computed form**: 1.891 eV/atom

a = 4.457 Å, b = 4.767 Å, c = 4.457 Å
α = 90.00°, β = 90.00°, γ = 90.00°
Site moments in Bohr magnetons follow the coordinates.
Positions (direct):
H1 0.500 0.500 0.500  0.14
Ir1 0.000 0.000 0.000  -0.01
Fe1 0.000 0.000 0.500  0.02
Fe2 0.500 0.000 0.000  0.11
Cu1 0.000 0.500 0.000  -0.07

No. 2
Here is CsLiPuF6 after structural relaxation from Alexandria via LeMat-Bulk. Energies are from GGA-PBE.

**Formation energy (no corrections)**: -3.245 eV/atom

a = 5.705 Å, b = 5.705 Å, c = 6.583 Å
α = 90.02°, β = 89.98°, γ = 59.96°
Site moments in Bohr magnetons follow the coordinates.
Positions (direct):
Cs1 0.000 0.000 0.000  0.00
Li1 0.667 0.667 0.500  0.00
Pu1 0.333 0.333 0.500  4.12
F1 0.995 0.380 0.321  -0.03
F2 0.380 0.995 0.679  -0.03
F3 0.624 0.381 0.679  -0.03
F4 0.995 0.625 0.679  -0.03
F5 0.381 0.624 0.321  -0.03
F6 0.625 0.995 0.321  -0.03

No. 3
Here is Pm7Tl2Co2 after structural relaxation from Alexandria via LeMat-Bulk. Energies are from GGA-PBE.

**Offset from the most stable computed form**: 0.000 eV/atom
**Formation energy from the elements**: -0.1606 eV/atom

a = 3.691 Å, b = 9.920 Å, c = 9.920 Å
α = 62.44°, β = 79.28°, γ = 79.28°
Positions (direct):
Pm1 0.818 0.087 0.276
Pm2 0.848 0.401 0.904
Pm3 0.500 0.033 0.967
Pm4 0.636 0.462 0.267
Pm5 0.364 0.733 0.538
Pm6 0.182 0.724 0.913
Pm7 0.152 0.096 0.599
Tl1 0.000 0.769 0.231
Tl2 0.500 0.361 0.639
Co1 0.735 0.858 0.671
Co2 0.265 0.329 0.142

We obtain VASP energy values of -0.345, -0.470, -0.361 Ry/atom for the records listed above, in that order.
We obtain size of the total moment values of 0.30, 4.00, 0.00 μB per cell for the records listed above, in that order.